Arrangement A

{"formula": "GaHSN", "functional": "PBE-GGA", "state": "relaxed", "spacegroup": "P4mm (99)", "mass_density_g_cm3": 4.0, "lattice": [[2.883, 0.000, 0.000], [0.000, 2.883, 0.000], [0.000, 0.000, 5.829]], "species": ["Ga", "H", "S", "N"], "frac_coords": [[0.000, 0.000, 0.000], [0.500, 0.500, 0.269], [0.000, 0.000, 0.611], [0.500, 0.500, 0.091]]}

---

Arrangement B

{"formula": "GaHSN", "functional": "PBE-GGA", "state": "relaxed", "spacegroup": "P1 (1)", "mass_density_g_cm3": 3.3, "lattice": [[3.119, 0.000, 0.000], [1.451, 2.781, 0.000], [0.079, 0.963, 6.778]], "species": ["Ga", "H", "S", "N"], "frac_coords": [[0.000, 0.000, 0.000], [0.963, 0.074, 0.771], [0.389, 0.213, 0.371], [0.354, 0.301, 0.118]]}

---

Arrangement C

{"formula": "GaHSN", "functional": "PBE-GGA", "state": "relaxed", "spacegroup": "P1 (1)", "mass_density_g_cm3": 3.8, "lattice": [[3.313, 0.000, 0.000], [1.651, 2.886, 0.000], [1.457, 0.824, 5.319]], "species": ["Ga", "H", "S", "N"], "frac_coords": [[0.000, 0.000, 0.000], [0.748, 0.633, 0.534], [0.980, 0.158, 0.549], [0.317, 0.314, 0.064]]}

---

Arrangement D

{"formula": "GaHSN", "functional": "PBE-GGA", "state": "relaxed", "spacegroup": "P1 (1)", "mass_density_g_cm3": 2.9, "lattice": [[3.157, 0.000, 0.000], [-0.002, 3.524, 0.000], [-0.671, -0.929, 6.064]], "species": ["Ga", "H", "S", "N"], "frac_coords": [[0.000, 0.000, 0.000], [0.429, 0.835, 0.679], [0.053, 0.563, 0.256], [0.466, 0.967, 0.839]]}

---

Stability check: which of them is most stable? arrangement D.

---

Arrangement A

{"formula": "GaHSN", "functional": "PBE-GGA", "state": "relaxed", "spacegroup": "Cm (8)", "mass_density_g_cm3": 3.0, "lattice": [[4.292, -1.517, 0.000], [4.292, 1.517, 0.000], [-0.665, 0.000, 4.934]], "species": ["Ga", "H", "S", "N"], "frac_coords": [[0.000, 0.000, 0.000], [0.061, 0.061, 0.720], [0.253, 0.253, 0.304], [0.381, 0.381, 0.092]]}

---

Arrangement B

{"formula": "GaHSN", "functional": "PBE-GGA", "state": "relaxed", "spacegroup": "P1 (1)", "mass_density_g_cm3": 3.3, "lattice": [[3.501, 0.000, 0.000], [1.600, 4.153, 0.000], [1.629, 1.537, 4.023]], "species": ["Ga", "H", "S", "N"], "frac_coords": [[0.000, 0.000, 0.000], [0.645, 0.131, 0.578], [0.984, 0.602, 0.572], [0.652, 0.898, 0.776]]}

---

Stability check: which of them is most stable? arrangement B.

---

Arrangement A

{"formula": "GaH2SN", "functional": "PBE-GGA", "state": "relaxed", "spacegroup": "P4/mmm (123)", "mass_density_g_cm3": 3.7, "lattice": [[3.028, 0.000, 0.000], [0.000, 3.028, 0.000], [0.000, 0.000, 5.829]], "species": ["Ga", "H", "H", "S", "N"], "frac_coords": [[0.000, 0.000, 0.000], [0.000, 0.500, 0.500], [0.500, 0.000, 0.500], [0.000, 0.000, 0.500], [0.500, 0.500, 0.000]]}

---

Arrangement B

{"formula": "GaH2SN", "functional": "PBE-GGA", "state": "relaxed", "spacegroup": "P4/mmm (123)", "mass_density_g_cm3": 4.0, "lattice": [[3.235, 0.000, 0.000], [0.000, 3.235, 0.000], [0.000, 0.000, 4.647]], "species": ["Ga", "H", "H", "S", "N"], "frac_coords": [[0.000, 0.000, 0.000], [0.000, 0.500, 0.000], [0.500, 0.000, 0.000], [0.500, 0.500, 0.500], [0.000, 0.000, 0.500]]}

---

Stability check: which of them is most stable? arrangement A.

---

Arrangement A

{"formula": "GaHS2N", "functional": "PBE-GGA", "state": "relaxed", "spacegroup": "P4/mmm (123)", "mass_density_g_cm3": 3.1, "lattice": [[3.361, 0.000, 0.000], [0.000, 3.361, 0.000], [0.000, 0.000, 7.037]], "species": ["Ga", "H", "S", "S", "N"], "frac_coords": [[0.000, 0.000, 0.000], [0.500, 0.500, 0.500], [0.000, 0.500, 0.500], [0.500, 0.000, 0.500], [0.500, 0.500, 0.000]]}

---

Arrangement B

{"formula": "GaHS2N", "functional": "PBE-GGA", "state": "relaxed", "spacegroup": "P4/mmm (123)", "mass_density_g_cm3": 2.7, "lattice": [[4.893, 0.000, 0.000], [0.000, 4.893, 0.000], [0.000, 0.000, 3.818]], "species": ["Ga", "H", "S", "S", "N"], "frac_coords": [[0.000, 0.000, 0.000], [0.500, 0.500, 0.500], [0.000, 0.500, 0.000], [0.500, 0.000, 0.000], [0.000, 0.000, 0.500]]}

---

Stability check: which of them is most stable? arrangement A.

---

Arrangement A

{"formula": "GaSiHSN", "functional": "PBE-GGA", "state": "relaxed", "spacegroup": "Amm2 (38)", "mass_density_g_cm3": 3.2, "lattice": [[3.179, 0.000, 0.000], [0.000, 1.640, 7.237], [0.000, -1.640, 7.237]], "species": ["Ga", "Si", "H", "S", "N"], "frac_coords": [[0.000, 0.000, 0.000], [0.500, 0.659, 0.659], [0.500, 0.956, 0.956], [0.500, 0.253, 0.253], [0.000, 0.594, 0.594]]}

---

Arrangement B

{"formula": "GaSiHSN", "functional": "PBE-GGA", "state": "relaxed", "spacegroup": "P1 (1)", "mass_density_g_cm3": 3.2, "lattice": [[3.007, 0.000, 0.000], [1.489, 5.052, 0.000], [1.495, 1.835, 4.960]], "species": ["Ga", "Si", "H", "S", "N"], "frac_coords": [[0.000, 0.000, 0.000], [0.290, 0.632, 0.797], [0.715, 0.393, 0.187], [0.914, 0.714, 0.463], [0.805, 0.413, 0.985]]}

---

Arrangement C

{"formula": "GaSiHSN", "functional": "PBE-GGA", "state": "relaxed", "spacegroup": "P1 (1)", "mass_density_g_cm3": 2.9, "lattice": [[3.213, 0.000, 0.000], [-1.337, 4.787, 0.000], [-0.183, -1.459, 5.470]], "species": ["Ga", "Si", "H", "S", "N"], "frac_coords": [[0.000, 0.000, 0.000], [0.739, 0.581, 0.168], [0.470, 0.512, 0.611], [0.885, 0.647, 0.576], [0.591, 0.218, 0.029]]}

---

Stability check: which of them is most stable? arrangement A.

---

Arrangement A

{"formula": "GaSiHSN", "functional": "PBE-GGA", "state": "relaxed", "spacegroup": "P1 (1)", "mass_density_g_cm3": 3.4, "lattice": [[3.079, 0.000, 0.000], [-0.604, 4.318, 0.000], [-0.048, -1.651, 5.342]], "species": ["Ga", "Si", "H", "S", "N"], "frac_coords": [[0.000, 0.000, 0.000], [0.433, 0.656, 0.501], [0.366, 0.305, 0.485], [0.409, 0.598, 0.093], [0.968, 0.824, 0.629]]}

---

Arrangement B

{"formula": "GaSiHSN", "functional": "PBE-GGA", "state": "relaxed", "spacegroup": "Cm (8)", "mass_density_g_cm3": 3.5, "lattice": [[2.670, -1.534, 0.000], [2.670, 1.534, 0.000], [-1.841, 0.000, 8.447]], "species": ["Ga", "Si", "H", "S", "N"], "frac_coords": [[0.000, 0.000, 0.000], [0.167, 0.167, 0.516], [0.424, 0.424, 0.291], [0.892, 0.892, 0.683], [0.466, 0.466, 0.414]]}

---

Arrangement C

{"formula": "GaSiHSN", "functional": "PBE-GGA", "state": "relaxed", "spacegroup": "Pm (6)", "mass_density_g_cm3": 3.0, "lattice": [[3.373, 0.000, 0.000], [0.000, 2.892, 0.000], [-0.564, 0.000, 8.130]], "species": ["Ga", "Si", "H", "S", "N"], "frac_coords": [[0.000, 0.000, 0.000], [0.062, 0.500, 0.357], [0.490, 0.000, 0.940], [0.591, 0.500, 0.535], [0.043, 0.000, 0.247]]}

---

Arrangement D

{"formula": "GaSiHSN", "functional": "PBE-GGA", "state": "relaxed", "spacegroup": "P1 (1)", "mass_density_g_cm3": 3.0, "lattice": [[2.899, 0.000, 0.000], [-0.008, 3.375, 0.000], [-0.566, -1.629, 8.164]], "species": ["Ga", "Si", "H", "S", "N"], "frac_coords": [[0.000, 0.000, 0.000], [0.570, 0.171, 0.355], [0.990, 0.471, 0.940], [0.604, 0.756, 0.531], [0.048, 0.118, 0.244]]}

---

Stability check: which of them is most stable? arrangement B.

---

Arrangement A

{"formula": "GaHSe2N", "functional": "PBE-GGA", "state": "relaxed", "spacegroup": "P4/mmm (123)", "mass_density_g_cm3": 4.5, "lattice": [[3.759, 0.000, 0.000], [0.000, 3.759, 0.000], [0.000, 0.000, 6.347]], "species": ["Ga", "H", "Se", "Se", "N"], "frac_coords": [[0.000, 0.000, 0.000], [0.500, 0.500, 0.500], [0.000, 0.500, 0.500], [0.500, 0.000, 0.500], [0.500, 0.500, 0.000]]}

---

Arrangement B

{"formula": "GaHSe2N", "functional": "PBE-GGA", "state": "relaxed", "spacegroup": "P4/mmm (123)", "mass_density_g_cm3": 4.0, "lattice": [[5.310, 0.000, 0.000], [0.000, 5.310, 0.000], [0.000, 0.000, 3.591]], "species": ["Ga", "H", "Se", "Se", "N"], "frac_coords": [[0.000, 0.000, 0.000], [0.500, 0.500, 0.500], [0.000, 0.500, 0.000], [0.500, 0.000, 0.000], [0.000, 0.000, 0.500]]}

---

Stability check: which of them is most stable? arrangement A.

---

Arrangement A

{"formula": "GaTe2HN", "functional": "PBE-GGA", "state": "relaxed", "spacegroup": "P4/mmm (123)", "mass_density_g_cm3": 6.5, "lattice": [[5.439, 0.000, 0.000], [0.000, 5.439, 0.000], [0.000, 0.000, 2.932]], "species": ["Ga", "Te", "Te", "H", "N"], "frac_coords": [[0.000, 0.000, 0.000], [0.000, 0.500, 0.500], [0.500, 0.000, 0.500], [0.500, 0.500, 0.500], [0.500, 0.500, 0.000]]}

---

Arrangement B

{"formula": "GaTe2HN", "functional": "PBE-GGA", "state": "relaxed", "spacegroup": "P4/mmm (123)", "mass_density_g_cm3": 4.7, "lattice": [[5.873, 0.000, 0.000], [0.000, 5.873, 0.000], [0.000, 0.000, 3.456]], "species": ["Ga", "Te", "Te", "H", "N"], "frac_coords": [[0.000, 0.000, 0.000], [0.000, 0.500, 0.000], [0.500, 0.000, 0.000], [0.500, 0.500, 0.500], [0.000, 0.000, 0.500]]}

---

Stability check: which of them is most stable? arrangement A.